Entry 1:
## Pr8CoRh3Cl4 (GGA-PBE)

Data for a geometry-optimized Pr8CoRh3Cl4 structure.

Lattice parameters (Å, degrees): 8.1789 8.1789 22.8836 90.00 90.00 120.00
Space group R-3m (No. 166, hexagonal axes)
Inequivalent atoms, fractional coordinates:
Pr 0.0000 0.0000 0.2356 [6 per cell]
Pr 0.0092 0.5046 0.2344 [18 per cell]
Co 0.0000 0.0000 0.5000 [3 per cell]
Rh 0.0000 0.5000 0.5000 [9 per cell]
Cl 0.0000 0.0000 0.0000 [3 per cell]
Cl 0.0000 0.5000 0.0000 [9 per cell]

Summary:
Final energy ... -5.75 eV per atom
Total moment ... 0.00 μB per cell
Raw formation energy ... -1.078 eV/atom
Calculated volume ... 27.6 A^3/atom

Entry 2:
## HfBi2Pb (GGA-PBE)

Data for a geometry-optimized HfBi2Pb structure.

Lattice parameters (Å, degrees): 3.4596 3.4596 34.5983 90.00 90.00 120.00
Space group R-3m (No. 166, hexagonal axes)
Inequivalent atoms, fractional coordinates:
Hf 0.0000 0.0000 0.0000 [3 per cell]
Bi 0.0000 0.0000 0.4023 [6 per cell]
Pb 0.0000 0.0000 0.5000 [3 per cell]

Summary:
Final energy ... -5.38 eV per atom
Total moment ... 0.00 μB per cell
Energy of formation from the pure elements ... -25 meV per atom
Calculated volume ... 29.9 A^3/atom

Entry 3:
## SrTeN2O (GGA-PBE)

Data for a geometry-optimized SrTeN2O structure.

Lattice parameters (Å, degrees): 4.054 4.054 4.181 90.00 90.00 90.00
Space group P4/mmm (No. 123)
Inequivalent atoms, fractional coordinates:
Sr 0.000 0.000 0.000 [1 per cell]
Te 0.500 0.500 0.500 [1 per cell]
N 0.000 0.500 0.500 [2 per cell]
O 0.500 0.500 0.000 [1 per cell]

Summary:
Final energy ... -5.54 eV per atom
Total moment ... 0.00 μB per cell
Raw formation energy ... -0.249 eV/atom
Calculated volume ... 13.7 A^3/atom

Entry 4:
## Li2RhAu (GGA-PBE)

Data for a geometry-optimized Li2RhAu structure.

Lattice parameters (Å, degrees): 2.675 4.252 5.248 90.00 90.00 90.00
Space group Pmm2 (No. 25)
Inequivalent atoms, fractional coordinates:
Li 0.000 0.000 0.000 [1 per cell]
Li 0.500 0.500 0.274 [1 per cell]
Rh 0.000 0.000 0.502 [1 per cell]
Au 0.500 0.500 0.766 [1 per cell]

Summary:
Final energy ... -3.82 eV per atom
Total moment ... 0.36 μB per cell
Energy of formation from the pure elements ... -205 meV per atom
Calculated volume ... 14.9 A^3/atom

Entry 5:
## Sc2WBr (GGA-PBE)

Data for a geometry-optimized Sc2WBr structure.

Lattice parameters (Å, degrees): 6.828 6.828 6.828 90.00 90.00 90.00
Space group Fm-3m (No. 225)
Inequivalent atoms, fractional coordinates:
Sc 0.250 0.250 0.250 [8 per cell]
W 0.000 0.000 0.000 [4 per cell]
Br 0.000 0.000 0.500 [4 per cell]

Summary:
Final energy ... -6.42 eV per atom
Total moment ... 0.00 μB per cell
Energy relative to the lowest polymorph listed for this composition ... 260 kJ/mol of formula units
Raw formation energy ... 0.403 eV/atom
Calculated volume ... 19.9 A^3/atom

Entry 6:
## Y2Be2As (GGA-PBE)

Data for a geometry-optimized Y2Be2As structure.

Lattice parameters (Å, degrees): 6.637 6.637 4.227 90.00 90.00 90.00
Space group P4/mbm (No. 127)
Inequivalent atoms, fractional coordinates:
Y 0.173 0.327 0.000 [4 per cell]
Be 0.117 0.617 0.500 [4 per cell]
As 0.000 0.000 0.500 [2 per cell]

Summary:
Final energy ... -5.33 eV per atom
Total moment ... 0.00 μB per cell
Energy relative to the lowest polymorph listed for this composition ... 0 kJ/mol of formula units
Energy of formation from the pure elements ... -322 meV per atom
Calculated volume ... 18.6 A^3/atom

Entry 7:
## Ba2MnCrAs (GGA-PBE)

Data for a geometry-optimized Ba2MnCrAs structure.

Lattice parameters (Å, degrees): 6.107 6.107 4.021 90.00 90.00 90.00
Space group P4/mmm (No. 123)
Inequivalent atoms, fractional coordinates:
Ba 0.000 0.500 0.000 [2 per cell]
Mn 0.000 0.000 0.500 [1 per cell]
Cr 0.000 0.000 0.000 [1 per cell]
As 0.500 0.500 0.500 [1 per cell]

Summary:
Final energy ... -4.78 eV per atom
Total moment ... 1.40 μB per cell
Energy of formation from the pure elements ... 675 meV per atom
Calculated volume ... 30.0 A^3/atom

Entry 8:
## KNaLiBi (GGA-PBE)

Data for a geometry-optimized KNaLiBi structure.

Lattice parameters (Å, degrees): 7.686 7.686 7.686 90.00 90.00 90.00
Space group F-43m (No. 216)
Inequivalent atoms, fractional coordinates:
K 0.000 0.000 0.000 [4 per cell]
Na 0.250 0.250 0.250 [4 per cell]
Li 0.250 0.250 0.750 [4 per cell]
Bi 0.000 0.000 0.500 [4 per cell]

Summary:
Final energy ... -2.44 eV per atom
Total moment ... 0.00 μB per cell
Energy relative to the lowest polymorph listed for this composition ... 1 kJ/mol of formula units
Energy of formation from the pure elements ... -388 meV per atom
Calculated volume ... 28.4 A^3/atom